Sb2TePbS | GGA-PBE | relaxed

Calculated values
Formation energy without anion corrections ... 1.1575 eV/atom
SG ... P4/mmm, No. 123
Uncorrected energy ... -13.43 eV per cell

```
5
Lattice="-2.4897 -1.3515 5.1056 5.2482 -0.0009 2.5590 -0.5806 5.5747 1.1925" Properties=species:S:1:pos:R:3 pbc="T T T"
Sb -1.2449 -0.6757 2.5528
S 1.0890 2.1112 4.4286
Pb 0.0000 0.0000 0.0000
Sb 2.6241 -0.0004 1.2795
Te -0.2903 2.7873 0.5963
```